Entry 1:
Computed, not measured: UB2 after structural relaxation at the GGA-PBE level of DFT.

Values from the calculation:
* total magnetization: 0.0 μB per formula unit
* ΔE to the lowest computed polymorph: 1.2127 eV per atom

a = 2.6480 Å, b = 2.6480 Å, c = 9.5267 Å
α = 90.00°, β = 90.00°, γ = 90.00°
Space group I4/mmm (No. 139)
Symmetry-distinct sites (fractional):
U 0.0000 0.0000 0.0000 [2 per cell]
B 0.0000 0.0000 0.2830 [4 per cell]

***

Entry 2:
Computed, not measured: UB3 after structural relaxation at the GGA-PBE level of DFT.

Values from the calculation:
* total magnetization: 1.4 μB per formula unit

a = 3.5516 Å, b = 3.5516 Å, c = 8.0206 Å
α = 90.00°, β = 90.00°, γ = 90.00°
Space group I4/mmm (No. 139)
Symmetry-distinct sites (fractional):
U 0.0000 0.0000 0.0000 [2 per cell]
B 0.0000 0.0000 0.3021 [4 per cell]
B 0.0000 0.0000 0.5000 [2 per cell]

***

Entry 3:
Computed, not measured: UB after structural relaxation at the GGA-PBE level of DFT.

Values from the calculation:
* total magnetization: 0.0 μB per formula unit

a = 3.3873 Å, b = 3.8626 Å, c = 4.8072 Å
α = 90.00°, β = 108.98°, γ = 90.00°
Space group P2_1/m (No. 11)
Symmetry-distinct sites (fractional):
U 0.1496 0.2500 0.2023 [2 per cell]
B 0.3561 0.2500 0.7412 [2 per cell]

***

Entry 4:
Computed, not measured: UB5 after structural relaxation at the GGA-PBE level of DFT.

Values from the calculation:
* total magnetization: 0.0 μB per formula unit

a = 3.0891 Å, b = 9.3725 Å, c = 4.2585 Å
α = 90.00°, β = 90.00°, γ = 90.00°
Space group Cmmm (No. 65)
Symmetry-distinct sites (fractional):
U 0.0000 0.0000 0.0000 [2 per cell]
B 0.0000 0.2234 0.5000 [4 per cell]
B 0.0000 0.2792 0.0000 [4 per cell]
B 0.0000 0.5000 0.5000 [2 per cell]

***

Entry 5:
Computed, not measured: U4B after structural relaxation at the GGA-PBE level of DFT.

Values from the calculation:
* total magnetization: 4.2 μB per formula unit

a = 4.6968 Å, b = 4.6968 Å, c = 4.6968 Å
α = 90.00°, β = 90.00°, γ = 90.00°
Space group Pm-3m (No. 221)
Symmetry-distinct sites (fractional):
U 0.0000 0.0000 0.0000 [1 per cell]
U 0.0000 0.5000 0.5000 [3 per cell]
B 0.5000 0.5000 0.5000 [1 per cell]

***

Entry 6:
Computed, not measured: UB12 after structural relaxation at the GGA-PBE level of DFT.

Values from the calculation:
* total magnetization: 0.0 μB per formula unit

a = 7.4489 Å, b = 7.4489 Å, c = 7.4489 Å
α = 90.00°, β = 90.00°, γ = 90.00°
Space group Fm-3m (No. 225)
Symmetry-distinct sites (fractional):
U 0.0000 0.0000 0.0000 [4 per cell]
B 0.0000 0.1697 0.3303 [48 per cell]

***

Entry 7:
Computed, not measured: UV2B after structural relaxation at the GGA-PBE level of DFT.

Values from the calculation:
* total magnetization: 1.2 μB per formula unit

a = 2.9089 Å, b = 2.9089 Å, c = 23.1569 Å
α = 90.00°, β = 90.00°, γ = 120.00°
Space group R-3m (No. 166, hexagonal axes)
Symmetry-distinct sites (fractional):
U 0.0000 0.0000 0.0000 [3 per cell]
V 0.0000 0.0000 0.1137 [6 per cell]
B 0.0000 0.0000 0.5000 [3 per cell]

***

Entry 8:
Computed, not measured: UB4W2 after structural relaxation at the GGA-PBE level of DFT.

Values from the calculation:
* total magnetization: 0.6 μB per formula unit

a = 3.0606 Å, b = 3.2122 Å, c = 15.7167 Å
α = 90.00°, β = 90.00°, γ = 90.00°
Space group Immm (No. 71)
Symmetry-distinct sites (fractional):
U 0.0000 0.0000 0.0000 [2 per cell]
B 0.0000 0.0000 0.4096 [4 per cell]
B 0.0000 0.5000 0.1433 [4 per cell]
W 0.0000 0.5000 0.3075 [4 per cell]

***

Entry 9:
Computed, not measured: UBW2 after structural relaxation at the GGA-PBE level of DFT.

Values from the calculation:
* total magnetization: 1.6 μB per formula unit

a = 3.0291 Å, b = 3.0291 Å, c = 24.3976 Å
α = 90.00°, β = 90.00°, γ = 120.00°
Space group R-3m (No. 166, hexagonal axes)
Symmetry-distinct sites (fractional):
U 0.0000 0.0000 0.0000 [3 per cell]
B 0.0000 0.0000 0.5000 [3 per cell]
W 0.0000 0.0000 0.1132 [6 per cell]

***

Entry 10:
Computed, not measured: UB6W2 after structural relaxation at the GGA-PBE level of DFT.

Values from the calculation:
* total magnetization: 0.6 μB per formula unit

a = 5.3451 Å, b = 5.3451 Å, c = 3.5810 Å
α = 90.00°, β = 90.00°, γ = 120.00°
Space group P6/mmm (No. 191)
Symmetry-distinct sites (fractional):
U 0.0000 0.0000 0.0000 [1 per cell]
B 0.0000 0.3382 0.5000 [6 per cell]
W 0.3333 0.6667 0.0000 [2 per cell]

***

Entry 11:
Computed, not measured: UB2W after structural relaxation at the GGA-PBE level of DFT.

Values from the calculation:
* total magnetization: 0.7 μB per formula unit

a = 3.2316 Å, b = 3.2316 Å, c = 17.6845 Å
α = 90.00°, β = 90.00°, γ = 120.00°
Space group R-3m (No. 166, hexagonal axes)
Symmetry-distinct sites (fractional):
U 0.0000 0.0000 0.0000 [3 per cell]
B 0.0000 0.0000 0.2376 [6 per cell]
W 0.0000 0.0000 0.5000 [3 per cell]

***

Entry 12:
Computed, not measured: UB4W after structural relaxation at the GGA-PBE level of DFT.

Values from the calculation:
* total magnetization: 1.0 μB per formula unit

a = 5.9637 Å, b = 11.5769 Å, c = 3.6569 Å
α = 90.00°, β = 90.00°, γ = 90.00°
Space group Pbam (No. 55)
Symmetry-distinct sites (fractional):
U 0.1274 0.1502 0.0000 [4 per cell]
B 0.0262 0.6933 0.5000 [4 per cell]
B 0.1155 0.5472 0.5000 [4 per cell]
B 0.1321 0.9681 0.5000 [4 per cell]
B 0.2087 0.8115 0.5000 [4 per cell]
W 0.1364 0.4085 0.0000 [4 per cell]

***

Entry 13:
Computed, not measured: UB4W after structural relaxation at the GGA-PBE level of DFT.

Values from the calculation:
* total magnetization: 1.1 μB per formula unit

a = 7.3608 Å, b = 9.3925 Å, c = 3.6523 Å
α = 90.00°, β = 90.00°, γ = 90.00°
Space group Cmmm (No. 65)
Symmetry-distinct sites (fractional):
U 0.0000 0.1989 0.0000 [4 per cell]
B 0.0000 0.4064 0.5000 [4 per cell]
B 0.1191 0.0000 0.5000 [4 per cell]
B 0.2238 0.3402 0.5000 [8 per cell]
W 0.1818 0.5000 0.0000 [4 per cell]

***

Entry 14:
Computed, not measured: YUB4 after structural relaxation at the GGA-PBE level of DFT.

Values from the calculation:
* total magnetization: 0.0 μB per formula unit

a = 6.1307 Å, b = 12.0167 Å, c = 4.0298 Å
α = 90.00°, β = 90.00°, γ = 90.00°
Space group Pbam (No. 55)
Symmetry-distinct sites (fractional):
Y 0.1249 0.1582 0.0000 [4 per cell]
U 0.1261 0.4223 0.0000 [4 per cell]
B 0.0131 0.6946 0.5000 [4 per cell]
B 0.1218 0.5520 0.5000 [4 per cell]
B 0.1276 0.9684 0.5000 [4 per cell]
B 0.1988 0.8123 0.5000 [4 per cell]

***

Entry 15:
Computed, not measured: YUB8 after structural relaxation at the GGA-PBE level of DFT.

Values from the calculation:
* total magnetization: 1.6 μB per formula unit

a = 10.0213 Å, b = 10.0318 Å, c = 3.9856 Å
α = 90.00°, β = 90.00°, γ = 90.00°
Space group Cmmm (No. 65)
Symmetry-distinct sites (fractional):
Y 0.0000 0.1848 0.0000 [4 per cell]
U 0.1884 0.5000 0.0000 [4 per cell]
B 0.0000 0.4137 0.5000 [4 per cell]
B 0.0883 0.0000 0.5000 [4 per cell]
B 0.1431 0.3215 0.5000 [8 per cell]
B 0.1821 0.1407 0.5000 [8 per cell]
B 0.2500 0.2500 0.2010 [8 per cell]

***

Entry 16:
Computed, not measured: ZrUB24 after structural relaxation at the GGA-PBE level of DFT.

Values from the calculation:
* total magnetization: 1.2 μB per formula unit

a = 5.2610 Å, b = 5.2610 Å, c = 25.7027 Å
α = 90.00°, β = 90.00°, γ = 120.00°
Space group R-3m (No. 166, hexagonal axes)
Symmetry-distinct sites (fractional):
Zr 0.0000 0.0000 0.0000 [3 per cell]
U 0.0000 0.0000 0.5000 [3 per cell]
B 0.9997 0.3384 0.7499 [36 per cell]
B 0.1068 0.5534 0.9735 [18 per cell]
B 0.1071 0.5535 0.4730 [18 per cell]

***

Entry 17:
Computed, not measured: VB5 after structural relaxation at the GGA-PBE level of DFT.

Values from the calculation:
* total magnetization: 0.0 μB per formula unit

a = 2.9400 Å, b = 10.0312 Å, c = 2.8982 Å
α = 90.00°, β = 90.00°, γ = 90.00°
Space group Cmmm (No. 65)
Symmetry-distinct sites (fractional):
V 0.0000 0.0000 0.0000 [2 per cell]
B 0.0000 0.1959 0.5000 [4 per cell]
B 0.0000 0.3360 0.0000 [4 per cell]
B 0.0000 0.5000 0.5000 [2 per cell]

***

Entry 18:
Computed, not measured: V3B after structural relaxation at the GGA-PBE level of DFT.

Values from the calculation:
* total magnetization: 0.0 μB per formula unit
* ΔE to the lowest computed polymorph: 0.2390 eV per atom

a = 2.9891 Å, b = 7.2782 Å, c = 4.2835 Å
α = 90.00°, β = 90.00°, γ = 90.00°
Space group Imm2 (No. 44)
Symmetry-distinct sites (fractional):
V 0.0000 0.0000 0.0000 [2 per cell]
V 0.0000 0.2068 0.5714 [4 per cell]
B 0.0000 0.5000 0.8710 [2 per cell]

***

Entry 19:
Computed, not measured: V2B3 after structural relaxation at the GGA-PBE level of DFT.

Values from the calculation:
* total magnetization: 0.0 μB per formula unit

a = 3.0363 Å, b = 18.4157 Å, c = 2.9784 Å
α = 90.00°, β = 90.00°, γ = 90.00°
Space group Cmcm (No. 63)
Symmetry-distinct sites (fractional):
V 0.0000 0.0709 0.2500 [4 per cell]
V 0.0000 0.2050 0.7500 [4 per cell]
B 0.0000 0.3311 0.7500 [4 per cell]
B 0.0000 0.3823 0.2500 [4 per cell]
B 0.0000 0.4763 0.2500 [4 per cell]

***

Entry 20:
Computed, not measured: V5B2 after structural relaxation at the GGA-PBE level of DFT.

Values from the calculation:
* total magnetization: 0.0 μB per formula unit

a = 12.0681 Å, b = 4.5486 Å, c = 5.7594 Å
α = 90.00°, β = 95.86°, γ = 90.00°
Space group C2/c (No. 15)
Symmetry-distinct sites (fractional):
V 0.0000 0.1205 0.2500 [4 per cell]
V 0.0915 0.3696 0.9256 [8 per cell]
V 0.2243 0.1062 0.3039 [8 per cell]
B 0.1075 0.1719 0.5730 [8 per cell]

***

Number 1: energy of formation 629.9 meV/atom, calculated total energy -45.5 eV for the cell shown. Number 2: energy of formation 539.4 meV/atom, calculated total energy -58.3 eV for the cell shown. Number 3: energy of formation 125.8 meV/atom, calculated total energy -35.4 eV for the cell shown. Number 4: energy of formation 671.9 meV/atom, calculated total energy -81.3 eV for the cell shown. Number 5: energy of formation 586.1 meV/atom, calculated total energy -48.9 eV for the cell shown. Number 6: energy of formation -275.2 meV/atom, calculated total energy -380.0 eV for the cell shown. Number 7: energy of formation 184.8 meV/atom, calculated total energy -106.4 eV for the cell shown. Number 8: energy of formation -444.8 meV/atom, calculated total energy -134.0 eV for the cell shown. Number 9: energy of formation 467.9 meV/atom, calculated total energy -126.0 eV for the cell shown. Number 10: energy of formation -258.2 meV/atom, calculated total energy -79.6 eV for the cell shown. Number 11: energy of formation -82.8 meV/atom, calculated total energy -113.8 eV for the cell shown. Number 12: energy of formation -503.7 meV/atom, calculated total energy -215.9 eV for the cell shown. Number 13: energy of formation -505.1 meV/atom, calculated total energy -215.9 eV for the cell shown. Number 14: energy of formation -234.5 meV/atom, calculated total energy -183.5 eV for the cell shown. Number 15: energy of formation -527.0 meV/atom, calculated total energy -305.8 eV for the cell shown. Number 16: energy of formation -241.6 meV/atom, calculated total energy -559.1 eV for the cell shown. Number 17: energy of formation 600.2 meV/atom, calculated total energy -77.8 eV for the cell shown. Number 18: energy of formation -32.8 meV/atom, calculated total energy -68.3 eV for the cell shown. Number 19: energy of formation -800.8 meV/atom, calculated total energy -169.1 eV for the cell shown. Number 20: energy of formation -356.5 meV/atom, calculated total energy -245.8 eV for the cell shown.